## LaScAs2Br (SCAN)

Data for a PBEsol-optimized structure of LaScAs2Br.

Properties
formation energy without anion corrections	-1.0869	eV/atom
electronic total energy	-24.524	eV per atom

a = 5.0584 Å, b = 5.0584 Å, c = 5.0557 Å
α = 90.00°, β = 90.00°, γ = 90.00°
With the nearest neighbours (Å) after each atom.
Fractional positions:
Br: 0.0000 0.0000 0.5000  2 Sc 2.53
As: 0.5000 0.0000 0.0000  2 Sc 2.53
As: 0.0000 0.5000 0.0000  2 Sc 2.53
Sc: 0.0000 0.0000 0.0000  2 Br 2.53, 4 As 2.53
La: 0.5000 0.5000 0.5000  8 As 3.58, 4 Br 3.58